NiTeO2, relaxed, DFT GGA+U; VASP energy = -4.08 eV/atom
1.0
-2.5878 3.3116 -1.1427
-3.4656 -2.6276 0.2333
-3.7540 1.8303 5.5055
O Ni Te
4 2 2
Direct
0.5975 0.1250 0.2500 O
0.3750 0.4025 0.7500 O
0.1525 0.6250 0.2500 O
0.8750 0.8475 0.7500 O
0.2500 0.7500 0.5000 Ni
0.5000 0.5000 0.0000 Ni
0.7500 0.2500 0.5000 Te
0.0000 0.0000 0.0000 Te